(1)
{
  "formula": "BaCoCu",
  "functional": "PBE",
  "state": "relaxed",
  "vol_a3_per_fu": 77.35,
  "relative_energy_mev_per_atom": 401,
  "e_tot_ev_per_atom": -3.619,
  "spacegroup": "F-43m, No. 216",
  "total_magnetization_mub_per_cell": 1.47,
  "formation_enthalpy_0k_ev_per_atom": 0.7559,
  "lattice_angstrom": [[4.783, 0.000, 0.000], [2.391, 4.142, 0.000], [2.391, 1.381, 3.905]],
  "species": ["Ba", "Co", "Cu"],
  "fractional_positions": [[0.500, 0.500, 0.500], [0.250, 0.250, 0.250], [0.000, 0.000, 0.000]]
}

---

(2)
{
  "formula": "BaCo2Cu",
  "functional": "PBE",
  "state": "relaxed",
  "vol_a3_per_fu": 78.88,
  "e_tot_ev_per_atom": -4.126,
  "spacegroup": "F-43m, No. 216",
  "total_magnetization_mub_per_cell": 3.61,
  "formation_enthalpy_0k_ev_per_atom": 0.9321,
  "lattice_angstrom": [[4.814, 0.000, 0.000], [2.407, 4.169, 0.000], [2.407, 1.390, 3.931]],
  "species": ["Ba", "Co", "Co", "Cu"],
  "fractional_positions": [[0.500, 0.500, 0.500], [0.000, 0.000, 0.000], [0.250, 0.250, 0.250], [0.750, 0.750, 0.750]]
}

---

(3)
{
  "formula": "BaCo2Cu",
  "functional": "PBE",
  "state": "relaxed",
  "vol_a3_per_fu": 75.92,
  "e_tot_ev_per_atom": -4.101,
  "spacegroup": "Pmmm, No. 47",
  "total_magnetization_mub_per_cell": 2.97,
  "formation_enthalpy_0k_ev_per_atom": 0.9571,
  "lattice_angstrom": [[3.423, 0.000, 0.000], [0.000, 4.632, 0.000], [0.000, 0.000, 4.788]],
  "species": ["Ba", "Co", "Co", "Cu"],
  "fractional_positions": [[0.000, 0.500, 0.500], [0.000, 0.000, 0.000], [0.500, 0.500, 0.000], [0.500, 0.000, 0.500]]
}